A plane-wave DFT calculation with PBE with a Hubbard U was carried out for a relaxed VCrClO4 crystal.

Values from the calculation:
Space-group type = C2/m, No. 12
DFT total energy = -94.2 eV per cell

```
data_VCrClO4
_cell_length_a 5.5729
_cell_length_b 5.5729
_cell_length_c 8.7884
_cell_angle_alpha 114.14
_cell_angle_beta 114.14
_cell_angle_gamma 71.49
_symmetry_space_group_name_H-M 'P 1'
_symmetry_Int_Tables_number 1
loop_
_symmetry_equiv_pos_as_xyz
'x,y,z'
loop_
_atom_site_label
_atom_site_type_symbol
_atom_site_fract_x
_atom_site_fract_y
_atom_site_fract_z
V1 V 0.1251 0.1251 0.3186
V2 V 0.8749 0.8749 0.6814
Cr1 Cr 0.3129 0.3129 0.7798
Cr2 Cr 0.6871 0.6871 0.2202
Cl1 Cl 0.3746 0.3746 0.0770
Cl2 Cl 0.6254 0.6254 0.9230
O1 O 0.0608 0.6285 0.7825
O2 O 0.0806 0.0806 0.7108
O3 O 0.2728 0.2728 0.5388
O4 O 0.3715 0.9392 0.2175
O5 O 0.6285 0.0608 0.7825
O6 O 0.7272 0.7272 0.4612
O7 O 0.9194 0.9194 0.2892
O8 O 0.9392 0.3715 0.2175
```